Material: MgTl2Mo
Method: DFT, PBE
State: optimized geometry

As for the total magnetization: 0.000 μB per atom. The value obtained for the energy of formation from the pure elements is 0.461 eV per atom. Its space group is No. 99. The relative energy among the computed polymorphs is 0.0 meV per atom. The total energy is -15.32 eV/cell.

Cell: 3.0332 3.0332 9.8581 Å, 90.00 90.00 90.00°
Element x y z (fractional)
1 Mg 0.0000 0.0000 0.0000
2 Tl 0.0000 0.0000 0.4332
3 Tl 0.5000 0.5000 0.7331
4 Mo 0.5000 0.5000 0.1987